(1)
A plane-wave DFT calculation with PBE-GGA was carried out for an optimized crystal structure of In3Se4.

Cell and atoms, written as POSCAR:
```
In3Se4
1.0
7.3318 -2.0199 0.0000
7.3318 2.0199 0.0000
-2.6412 0.0000 6.4345
In Se
3 4
Direct
0.0000 0.0000 0.0000
0.2705 0.2705 0.2905
0.7295 0.7295 0.7095
0.1260 0.1260 0.4586
0.3587 0.3587 0.0008
0.6413 0.6413 0.9992
0.8740 0.8740 0.5414
```

Properties
The energy relative to the elements, uncorrected comes out at -466.2 meV/atom.

(2)
A plane-wave DFT calculation with PBE-GGA was carried out for an optimized crystal structure of Hf5Sb2O.

Cell and atoms, written as POSCAR:
```
Hf5Sb2O
1.0
1.9778 -7.6760 0.0000
1.9778 7.6760 0.0000
0.0000 0.0000 12.5770
Hf Sb O
10 4 2
Direct
0.1202 0.8798 0.6253
0.1202 0.8798 0.8747
0.2398 0.7602 0.2500
0.3146 0.6854 0.5337
0.3146 0.6854 0.9663
0.6854 0.3146 0.0337
0.6854 0.3146 0.4663
0.7602 0.2398 0.7500
0.8798 0.1202 0.1253
0.8798 0.1202 0.3747
0.0701 0.9299 0.1198
0.0701 0.9299 0.3802
0.9299 0.0701 0.6198
0.9299 0.0701 0.8802
0.2190 0.7810 0.7500
0.7810 0.2190 0.2500
```

Properties
The energy relative to the elements, uncorrected comes out at -490.4 meV/atom.

(3)
A plane-wave DFT calculation with PBE-GGA was carried out for an optimized crystal structure of AcPm2Sm6Y.

Cell and atoms, written as POSCAR:
```
AcPm2Sm6Y
1.0
4.6476 -7.7997 0.0000
4.6476 7.7997 0.0000
-1.0551 0.0000 9.7459
Ac Pm Sm Y
2 4 12 2
Direct
0.0239 0.9761 0.7500
0.9761 0.0239 0.2500
0.1994 0.3140 0.5450
0.3140 0.1994 0.0450
0.6860 0.8006 0.9550
0.8006 0.6860 0.4550
0.0182 0.5625 0.6851
0.1295 0.7473 0.0555
0.2527 0.8705 0.4445
0.2894 0.5024 0.8817
0.4375 0.9818 0.8149
0.4976 0.7106 0.6183
0.5024 0.2894 0.3817
0.5625 0.0182 0.1851
0.7106 0.4976 0.1183
0.7473 0.1295 0.5555
0.8705 0.2527 0.9445
0.9818 0.4375 0.3149
0.4101 0.5899 0.2500
0.5899 0.4101 0.7500
```

Properties
The value obtained for the energy of formation from the pure elements is 0.12 eV per atom.

(4)
A plane-wave DFT calculation with PBE-GGA was carried out for an optimized crystal structure of Gd2AlPb.

Cell and atoms, written as POSCAR:
```
Gd2AlPb
1.0
4.8328 0.0000 0.0000
0.0000 4.8328 0.0000
0.0000 0.0000 4.5131
Gd Al Pb
2 1 1
Direct
0.0000 0.5000 0.0000
0.5000 0.0000 0.0000
0.0000 0.0000 0.5000
0.5000 0.5000 0.5000
```

Properties
The value obtained for the energy of formation from the pure elements is -0.42 eV per atom.

(5)
A plane-wave DFT calculation with PBE-GGA was carried out for an optimized crystal structure of CsCdPt3.

Cell and atoms, written as POSCAR:
```
CsCdPt3
1.0
5.2612 0.0000 0.0000
0.0000 5.2612 0.0000
0.0000 0.0000 5.2612
Cs Cd Pt
1 1 3
Direct
0.0000 0.0000 0.0000
0.5000 0.5000 0.5000
0.0000 0.0000 0.5000
0.0000 0.5000 0.0000
0.5000 0.0000 0.0000
```

Properties
The value obtained for the energy of formation from the pure elements is 1.87 eV per atom. The energy relative to the lowest polymorph listed for this composition is 1066.5 meV per atom.

(6)
A plane-wave DFT calculation with PBE-GGA was carried out for an optimized crystal structure of Pm2Nd2Tl7.

Cell and atoms, written as POSCAR:
```
Pm2Nd2Tl7
1.0
4.4200 -5.5423 0.0000
4.4200 5.5423 0.0000
0.0000 0.0000 7.6076
Pm Nd Tl
2 2 7
Direct
0.2011 0.7989 0.0000
0.7989 0.2011 0.0000
0.3146 0.3146 0.5000
0.6854 0.6854 0.5000
0.0000 0.0000 0.2955
0.0000 0.0000 0.7045
0.0000 0.5000 0.2927
0.0000 0.5000 0.7073
0.5000 0.0000 0.2927
0.5000 0.0000 0.7073
0.5000 0.5000 0.0000
```

Properties
The value obtained for the energy of formation from the pure elements is 0.02 eV per atom.

(7)
A plane-wave DFT calculation with PBE-GGA was carried out for an optimized crystal structure of YHgIrF2.

Cell and atoms, written as POSCAR:
```
YHgIrF2
1.0
4.1945 0.0000 0.0000
0.0000 4.1945 0.0000
0.0000 0.0000 7.5865
Y Hg Ir F
1 1 1 2
Direct
0.0000 0.0000 0.0000
0.0000 0.0000 0.5000
0.5000 0.5000 0.0000
0.0000 0.5000 0.5000
0.5000 0.0000 0.5000
```

Properties
The energy relative to the elements, uncorrected comes out at -311.6 meV/atom.

(8)
A plane-wave DFT calculation with PBE-GGA was carried out for an optimized crystal structure of Na2CeAgO4.

Cell and atoms, written as POSCAR:
```
Na2CeAgO4
1.0
-3.0410 3.0410 3.2965
3.0410 -3.0410 3.2965
3.0410 3.0410 -3.2965
Na Ce Ag O
2 1 1 4
Direct
0.0000 0.0000 0.0000
0.7500 0.2500 0.5000
0.2500 0.7500 0.5000
0.5000 0.5000 0.0000
0.2386 0.3550 0.5165
0.2779 0.7614 0.1164
0.6450 0.1615 0.8836
0.8385 0.7221 0.4835
```

Properties
The energy relative to the elements, uncorrected comes out at -1712.2 meV/atom.

Values of DOS at the Fermi energy, in order: 0.95 7.45 14.43 2.94 9.25 8.56 2.39 1.88, all in states/eV/f.u..